Record 1
Material: YCSCl2
Method: DFT, PBE-GGA
State: optimized geometry

Cell lengths 4.3252, 4.3252, 4.5912 Å; angles 90.00, 90.00, 90.00 degrees
Fractional coordinates of all 5 atoms:
Y 0.0000 0.0000 0.0000
C 0.5000 0.5000 0.5000
S 0.5000 0.5000 0.0000
Cl 0.0000 0.5000 0.5000
Cl 0.5000 0.0000 0.5000

Calculated values
ρ, kg/m³: 3942
DOS(E_F), states/eV/atom: 0.534
Magnetization, μB/atom: 0.00
SG: P4/mmm (123)
Excess energy over the best structure of this formula in the dataset, meV/atom: 0

Record 2
Material: DySO
Method: DFT, PBE-GGA
State: optimized geometry

Cell lengths 3.8071, 3.8071, 7.1712 Å; angles 94.30, 94.30, 73.77 degrees
Fractional coordinates of all 6 atoms:
Dy 0.1994 0.1994 0.1950
Dy 0.8006 0.8006 0.8050
S 0.2538 0.7462 0.5000
S 0.7462 0.2538 0.5000
O 0.1819 0.1819 0.8845
O 0.8181 0.8181 0.1155

Calculated values
ρ, kg/m³: 7038
DOS(E_F), states/eV/atom: 0.256
Magnetization, μB/atom: 0.00
SG: C2/m (12)
Final energy, eV/atom: -6.87

Record 3
Material: IrRu3
Method: DFT, PBE-GGA
State: optimized geometry

Cell lengths 4.6924, 4.6924, 2.7105 Å; angles 90.00, 90.00, 109.41 degrees
Fractional coordinates of all 4 atoms:
Ir 0.0000 0.0000 0.0000
Ru 0.0000 0.5000 0.5000
Ru 0.5000 0.0000 0.5000
Ru 0.5000 0.5000 0.0000

Calculated values
ρ, kg/m³: 14615
ΔE_f, meV/atom: 37
DOS(E_F), states/eV/atom: 1.117
Magnetization, μB/atom: 0.00
SG: Cmmm (65)